Compound: SiSb3Ir
Source: Alexandria via LeMat-Bulk
Functional: PBEsol
Structure: relaxed

POSCAR file:
```
SiSb3Ir
1.0
-1.2159 -4.6415 -1.7545
4.2378 -0.0317 -2.8530
2.5811 -2.1344 3.8577
Sb Si Ir
3 1 1
Direct
0.0000 0.5000 0.0000
0.0000 0.0000 0.5000
0.5000 0.0000 0.0000
0.5000 0.5000 0.5000
0.0000 0.0000 0.0000
```

Properties
E_form (uncorrected)   791 meV/atom
Size of the total moment   0.0 μB/cell
Total energy   -5.0576 eV/atom

Compound: LiP2Cl
Source: Alexandria via LeMat-Bulk
Functional: PBEsol
Structure: relaxed

POSCAR file:
```
LiP2Cl
1.0
-2.4298 -0.1718 -1.6512
0.2187 -0.4938 -2.8928
-1.0828 -8.2508 -0.1702
P Cl Li
2 1 1
Direct
0.2523 0.2523 0.2430
0.7477 0.7477 0.7570
0.5000 0.5000 0.5000
0.0000 0.0000 0.0000
```

Properties
E_form (uncorrected)   374 meV/atom
Size of the total moment   0.0 μB/cell
Polymorph energy (0 for the lowest one)   373 kJ/mol of formula units
Total energy   -3.5153 eV/atom

Compound: LiBiO2
Source: Alexandria via LeMat-Bulk
Functional: PBEsol
Structure: relaxed

POSCAR file:
```
LiBiO2
1.0
4.8090 0.0000 0.0000
0.0000 4.8090 0.0000
-2.4045 -2.4045 5.2188
Bi O Li
2 4 2
Direct
0.2500 0.7500 0.5000
0.0000 0.0000 0.0000
0.4124 0.8750 0.2500
0.8376 0.3750 0.2500
0.1250 0.1624 0.7500
0.6250 0.5876 0.7500
0.7500 0.2500 0.5000
0.5000 0.5000 0.0000
```

Properties
E_form (uncorrected)   -1332 meV/atom
Size of the total moment   0.0 μB/cell
Total energy   -5.5198 eV/atom

Compound: Sr2MgPb
Source: Alexandria via LeMat-Bulk
Functional: PBEsol
Structure: relaxed

POSCAR file:
```
Sr2MgPb
1.0
5.0433 0.0000 0.0000
0.0000 5.0433 0.0000
-2.5216 -2.5216 5.2606
Mg Pb Sr
1 1 2
Direct
0.5000 0.5000 0.0000
0.2500 0.7500 0.5000
0.0000 0.0000 0.0000
0.7500 0.2500 0.5000
```

Properties
Size of the total moment   0.0 μB/cell
Total energy   -2.5726 eV/atom
Energy relative to the elements   -0.22 eV per atom

Compound: CaAcTl2
Source: Alexandria via LeMat-Bulk
Functional: PBEsol
Structure: relaxed

POSCAR file:
```
CaAcTl2
1.0
-3.0601 -3.1464 -3.4608
2.4694 -3.9014 -3.1501
-0.8025 -5.4168 1.1207
Ac Ca Tl
1 1 2
Direct
0.0000 0.0000 0.0000
0.5000 0.5000 0.5000
0.2500 0.2500 0.2500
0.7500 0.7500 0.7500
```

Properties
Size of the total moment   0.0 μB/cell
Total energy   -3.4348 eV/atom
Energy relative to the elements   -0.46 eV per atom

Compound: MnFe2Si
Source: Alexandria via LeMat-Bulk
Functional: PBEsol
Structure: relaxed

POSCAR file:
```
MnFe2Si
1.0
2.8378 0.0000 0.0000
0.0000 3.8050 0.0000
-1.4189 -1.9025 3.8656
Fe Mn Si
2 1 1
Direct
0.7559 0.7559 0.5117
0.2441 0.2441 0.4883
0.0000 0.5000 0.0000
0.5000 0.0000 0.0000
```

Properties
E_form (uncorrected)   -275 meV/atom
Size of the total moment   2.4 μB/cell
Total energy   -8.6336 eV/atom

Compound: BeAsOs2
Source: Alexandria via LeMat-Bulk
Functional: PBEsol
Structure: relaxed

POSCAR file:
```
BeAsOs2
1.0
2.8899 0.0000 0.0000
0.0000 4.5833 0.0000
-1.4449 -2.2916 3.9426
Be As Os
1 1 2
Direct
0.0000 0.5000 0.0000
0.5000 0.0000 0.0000
0.7193 0.7193 0.4386
0.2807 0.2807 0.5614
```

Properties
Size of the total moment   0.0 μB/cell
Polymorph energy (0 for the lowest one)   6 kJ/mol of formula units
Total energy   -8.0201 eV/atom
Energy relative to the elements   0.36 eV per atom

Compound: BeZnBr2
Source: Alexandria via LeMat-Bulk
Functional: PBEsol
Structure: relaxed

POSCAR file:
```
BeZnBr2
1.0
3.3469 0.0000 0.0000
0.0000 4.7469 0.0000
0.0000 0.0000 4.7469
Be Zn Br
1 1 2
Direct
0.5000 0.0000 0.0000
0.5000 0.5000 0.5000
0.0000 0.0000 0.5000
0.0000 0.5000 0.0000
```

Properties
E_form (uncorrected)   381 meV/atom
Size of the total moment   0.0 μB/cell
Polymorph energy (0 for the lowest one)   267 kJ/mol of formula units
Total energy   -1.9499 eV/atom

Compound: B3Rh7
Source: Alexandria via LeMat-Bulk
Functional: PBEsol
Structure: relaxed

POSCAR file:
```
B3Rh7
1.0
4.7838 0.0000 0.0000
0.0000 7.4044 0.0000
0.0000 -3.7022 6.4124
B Rh
6 14
Direct
0.6660 0.6216 0.8108
0.6660 0.1892 0.3784
0.6660 0.1892 0.8108
0.1660 0.3784 0.1892
0.1660 0.8108 0.6216
0.1660 0.8108 0.1892
0.9233 0.6667 0.3333
0.4233 0.3333 0.6667
0.7692 0.2456 0.1228
0.7692 0.8772 0.7544
0.7692 0.8772 0.1228
0.2692 0.7544 0.8772
0.2692 0.1228 0.2456
0.2692 0.1228 0.8772
0.9199 0.0873 0.5436
0.9199 0.4564 0.9127
0.9199 0.4564 0.5436
0.4199 0.9127 0.4564
0.4199 0.5436 0.0873
0.4199 0.5436 0.4564
```

Properties
Size of the total moment   0.0 μB/cell
Total energy   -8.0748 eV/atom
Energy relative to the elements   -0.27 eV per atom

Compound: YZnTe2
Source: Alexandria via LeMat-Bulk
Functional: PBEsol
Structure: relaxed

POSCAR file:
```
YZnTe2
1.0
5.1790 0.0000 0.0000
2.5895 4.5648 0.0451
2.5895 1.5797 4.2830
Te Y Zn
2 1 1
Direct
0.2503 0.7497 0.7497
0.7497 0.2503 0.2503
0.5000 0.0000 0.0000
0.0000 0.5000 0.5000
```

Properties
E_form (uncorrected)   -593 meV/atom
Size of the total moment   0.0 μB/cell
Polymorph energy (0 for the lowest one)   137 kJ/mol of formula units
Total energy   -4.4574 eV/atom

Compound: Tl2Cr2Pt
Source: Alexandria via LeMat-Bulk
Functional: PBEsol
Structure: relaxed

POSCAR file:
```
Tl2Cr2Pt
1.0
-2.0311 1.6751 2.9850
-1.8750 -3.4484 0.6594
6.2059 -0.7019 1.9630
Cr Tl Pt
2 2 1
Direct
0.4251 0.4251 0.8503
0.5749 0.5749 0.1497
0.2500 0.7500 0.5000
0.7500 0.2500 0.5000
0.0000 0.0000 0.0000
```

Properties
Size of the total moment   0.0 μB/cell
Total energy   -5.6137 eV/atom
Energy relative to the elements   0.93 eV per atom

Compound: LuTiClO3
Source: Alexandria via LeMat-Bulk
Functional: PBEsol
Structure: relaxed

POSCAR file:
```
LuTiClO3
1.0
-1.0659 -1.7369 3.2212
1.4253 -3.4772 -3.6585
8.0591 2.7143 4.1304
Lu Ti Cl O
2 2 2 6
Direct
0.7259 0.4519 0.2027
0.2741 0.5481 0.7973
0.1173 0.2347 0.4256
0.8827 0.7653 0.5744
0.3856 0.7713 0.0938
0.6144 0.2287 0.9062
0.1509 0.3018 0.2411
0.8491 0.6982 0.7589
0.3301 0.6602 0.5693
0.6699 0.3398 0.4307
0.0787 0.1573 0.6286
0.9213 0.8427 0.3714
```

Properties
E_form (uncorrected)   -3141 meV/atom
Size of the total moment   0.0 μB/cell
Total energy   -8.2990 eV/atom

Compound: Fe2BiWC
Source: Alexandria via LeMat-Bulk
Functional: PBEsol
Structure: relaxed

POSCAR file:
```
Fe2BiWC
1.0
4.7166 0.0000 0.0000
0.0000 4.7166 0.0000
0.0000 0.0000 5.1719
C Bi W Fe
1 1 1 2
Direct
0.5000 0.5000 0.5000
0.0000 0.0000 0.0000
0.0000 0.0000 0.5000
0.0000 0.5000 0.0000
0.5000 0.0000 0.0000
```

Properties
Size of the total moment   3.3 μB/cell
Total energy   -5.5883 eV/atom
Energy relative to the elements   3.54 eV per atom

Compound: MgTlBr
Source: Alexandria via LeMat-Bulk
Functional: PBEsol
Structure: relaxed

POSCAR file:
```
MgTlBr
1.0
-1.9128 -2.0559 -2.3523
4.2332 -2.3350 -1.4015
-2.7339 -1.8204 3.8142
Br Mg Tl
1 1 1
Direct
0.0000 0.0000 0.0000
0.0000 0.3333 0.6667
0.5000 0.6667 0.3333
```

Properties
E_form (uncorrected)   -355 meV/atom
Size of the total moment   0.0 μB/cell
Polymorph energy (0 for the lowest one)   0 kJ/mol of formula units
Total energy   -2.4275 eV/atom